Record 1
# SbOsRh

SbOsRh at its PBEsol-relaxed geometry (SCAN, Alexandria).

Summary:
Magnetization   0.0 μB/cell
Electronic total energy   -47.419 eV/atom
ΔE_f (raw)   0.66 eV per formula unit
Crystal system   cubic

Cell and atoms, written as CIF:
```
data_SbOsRh
_cell_length_a 6.0549
_cell_length_b 6.0549
_cell_length_c 6.0549
_cell_angle_alpha 90.00
_cell_angle_beta 90.00
_cell_angle_gamma 90.00
_symmetry_space_group_name_H-M 'F -4 3 m'
_symmetry_Int_Tables_number 216
_symmetry_space_group_name_Hall 'F -4 2 3'
loop_
_atom_site_label
_atom_site_fract_x
_atom_site_fract_y
_atom_site_fract_z
Sb1 0.0000 0.0000 0.0000
Os1 0.2500 0.2500 0.2500
Rh1 0.0000 0.0000 0.5000
```

Record 2
# RbPd3O

RbPd3O at its PBEsol-relaxed geometry (SCAN, Alexandria).

Summary:
Magnetization   1.5 μB/cell
Electronic total energy   -23.017 eV/atom
ΔE_f (raw)   10.21 eV per formula unit
Crystal system   cubic

Cell and atoms, written as CIF:
```
data_RbPd3O
_cell_length_a 5.0071
_cell_length_b 5.0071
_cell_length_c 5.0071
_cell_angle_alpha 90.00
_cell_angle_beta 90.00
_cell_angle_gamma 90.00
_symmetry_space_group_name_H-M 'P m -3 m'
_symmetry_Int_Tables_number 221
_symmetry_space_group_name_Hall '-P 4 2 3'
loop_
_atom_site_label
_atom_site_fract_x
_atom_site_fract_y
_atom_site_fract_z
Rb1 0.0000 0.0000 0.0000
Pd1 0.0000 0.0000 0.5000
O1 0.5000 0.5000 0.5000
```

Record 3
# CuRe2Ir

CuRe2Ir at its PBEsol-relaxed geometry (SCAN, Alexandria).

Summary:
Magnetization   0.0 μB/cell
Electronic total energy   -56.990 eV/atom
Formation energy from the elements   0.13 eV/atom
Distance to the lowest polymorph of the same formula   9 meV per atom
Crystal system   tetragonal

Cell and atoms, written as CIF:
```
data_CuRe2Ir
_cell_length_a 2.6900
_cell_length_b 2.6900
_cell_length_c 7.5582
_cell_angle_alpha 90.00
_cell_angle_beta 90.00
_cell_angle_gamma 90.00
_symmetry_space_group_name_H-M 'P 4/m m m'
_symmetry_Int_Tables_number 123
_symmetry_space_group_name_Hall '-P 4 2'
loop_
_atom_site_label
_atom_site_fract_x
_atom_site_fract_y
_atom_site_fract_z
Cu1 0.0000 0.0000 0.0000
Re1 0.5000 0.5000 0.2425
Ir1 0.0000 0.0000 0.5000
```

Record 4
# Se2SIN

Se2SIN at its PBEsol-relaxed geometry (SCAN, Alexandria).

Summary:
Magnetization   0.0 μB/cell
Electronic total energy   -17.463 eV/atom
ΔE_f (raw)   8.50 eV per formula unit
Crystal system   tetragonal

Cell and atoms, written as CIF:
```
data_Se2SIN
_cell_length_a 5.3829
_cell_length_b 5.3829
_cell_length_c 3.8764
_cell_angle_alpha 90.00
_cell_angle_beta 90.00
_cell_angle_gamma 90.00
_symmetry_space_group_name_H-M 'P 4/m m m'
_symmetry_Int_Tables_number 123
_symmetry_space_group_name_Hall '-P 4 2'
loop_
_atom_site_label
_atom_site_fract_x
_atom_site_fract_y
_atom_site_fract_z
Se1 0.0000 0.5000 0.0000
S1 0.0000 0.0000 0.5000
I1 0.5000 0.5000 0.0000
N1 0.5000 0.5000 0.5000
```

Record 5
# TaB3Rh

TaB3Rh at its PBEsol-relaxed geometry (SCAN, Alexandria).

Summary:
Magnetization   1.1 μB/cell
Electronic total energy   -22.843 eV/atom
Formation energy from the elements   1.69 eV/atom
Crystal system   cubic

Cell and atoms, written as CIF:
```
data_TaB3Rh
_cell_length_a 4.0987
_cell_length_b 4.0987
_cell_length_c 4.0987
_cell_angle_alpha 90.00
_cell_angle_beta 90.00
_cell_angle_gamma 90.00
_symmetry_space_group_name_H-M 'P m -3 m'
_symmetry_Int_Tables_number 221
_symmetry_space_group_name_Hall '-P 4 2 3'
loop_
_atom_site_label
_atom_site_fract_x
_atom_site_fract_y
_atom_site_fract_z
Ta1 0.0000 0.0000 0.0000
B1 0.0000 0.0000 0.5000
Rh1 0.5000 0.5000 0.5000
```

Record 6
# Co2HgMo

Co2HgMo at its PBEsol-relaxed geometry (SCAN, Alexandria).

Summary:
Magnetization   9.5 μB/cell
Electronic total energy   -33.888 eV/atom
Formation energy from the elements   0.53 eV/atom
Crystal system   trigonal

Cell and atoms, written as CIF:
```
data_Co2HgMo
_cell_length_a 2.7791
_cell_length_b 2.7791
_cell_length_c 25.3190
_cell_angle_alpha 90.00
_cell_angle_beta 90.00
_cell_angle_gamma 120.00
_symmetry_space_group_name_H-M 'R -3 m'
_symmetry_Int_Tables_number 166
_symmetry_space_group_name_Hall '-R 3 2"'
loop_
_atom_site_label
_atom_site_fract_x
_atom_site_fract_y
_atom_site_fract_z
Co1 0.0000 0.0000 0.2439
Hg1 0.0000 0.0000 0.0000
Mo1 0.0000 0.0000 0.5000
```

Record 7
# Mg2Cu2Pd

Mg2Cu2Pd at its PBEsol-relaxed geometry (SCAN, Alexandria).

Summary:
Magnetization   0.0 μB/cell
Electronic total energy   -14.407 eV/atom
Formation energy from the elements   0.22 eV/atom
Crystal system   tetragonal

Cell and atoms, written as CIF:
```
data_Mg2Cu2Pd
_cell_length_a 3.8528
_cell_length_b 3.8528
_cell_length_c 10.8205
_cell_angle_alpha 90.00
_cell_angle_beta 90.00
_cell_angle_gamma 90.00
_symmetry_space_group_name_H-M 'I 4/m m m'
_symmetry_Int_Tables_number 139
_symmetry_space_group_name_Hall '-I 4 2'
loop_
_atom_site_label
_atom_site_fract_x
_atom_site_fract_y
_atom_site_fract_z
Mg1 0.0000 0.5000 0.2500
Cu1 0.0000 0.0000 0.1005
Pd1 0.0000 0.0000 0.5000
```

Record 8
# Sc2NbZnPb

Sc2NbZnPb at its PBEsol-relaxed geometry (SCAN, Alexandria).

Summary:
Magnetization   0.0 μB/cell
Electronic total energy   -29.582 eV/atom
Formation energy from the elements   0.60 eV/atom
Crystal system   tetragonal

Cell and atoms, written as CIF:
```
data_Sc2NbZnPb
_cell_length_a 4.9551
_cell_length_b 4.9551
_cell_length_c 5.0423
_cell_angle_alpha 90.00
_cell_angle_beta 90.00
_cell_angle_gamma 90.00
_symmetry_space_group_name_H-M 'P 4/m m m'
_symmetry_Int_Tables_number 123
_symmetry_space_group_name_Hall '-P 4 2'
loop_
_atom_site_label
_atom_site_fract_x
_atom_site_fract_y
_atom_site_fract_z
Sc1 0.0000 0.5000 0.0000
Nb1 0.0000 0.0000 0.0000
Zn1 0.0000 0.0000 0.5000
Pb1 0.5000 0.5000 0.5000
```

Among the records above, which one has the highest electronic total energy?
Mg2Cu2Pd

What did the first record say?
# SbOsRh

SbOsRh at its PBEsol-relaxed geometry (SCAN, Alexandria).

Summary:
Magnetization   0.0 μB/cell
Electronic total energy   -47.419 eV/atom
ΔE_f (raw)   0.66 eV per formula unit
Crystal system   cubic

Cell and atoms, written as CIF:
```
data_SbOsRh
_cell_length_a 6.0549
_cell_length_b 6.0549
_cell_length_c 6.0549
_cell_angle_alpha 90.00
_cell_angle_beta 90.00
_cell_angle_gamma 90.00
_symmetry_space_group_name_H-M 'F -4 3 m'
_symmetry_Int_Tables_number 216
_symmetry_space_group_name_Hall 'F -4 2 3'
loop_
_atom_site_label
_atom_site_fract_x
_atom_site_fract_y
_atom_site_fract_z
Sb1 0.0000 0.0000 0.0000
Os1 0.2500 0.2500 0.2500
Rh1 0.0000 0.0000 0.5000
```

Look up the magnetization of the fifth one.
1.1 μB/cell

The highest magnetization belongs to which entry?
Co2HgMo